Entry 1:
Material: BaOsAu
Method: DFT, PBE
State: optimized geometry

abc: 3.1016 3.1016 7.9772
angles: 90.00 90.00 120.00
Last column: nearest neighbours and their distance in Å.
Positions (direct):
Ba 0.0000 0.0000 0.0000  6 Ba 3.10, 3 Os 3.29
Os 0.6667 0.3333 0.3458  3 Au 2.84, 6 Os 3.10
Au 0.3333 0.6667 0.6226  3 Os 2.84, 6 Au 3.10

Results
ΔE_f ... 1137 meV per atom
SG ... No. 156
ΔE to the lowest computed polymorph ... 711.3 meV/atom

=====

Entry 2:
Material: TbNdTmAl
Method: DFT, PBE
State: optimized geometry

abc: 5.3877 5.3877 5.3877
angles: 60.00 60.00 60.00
Last column: nearest neighbours and their distance in Å.
Positions (direct):
Tb 0.0000 0.0000 0.0000  4 Tm 3.30, 4 Al 3.30
Nd 0.5000 0.5000 0.5000  4 Al 3.30, 4 Tm 3.30
Tm 0.7500 0.7500 0.7500  4 Nd 3.30, 4 Tb 3.30
Al 0.2500 0.2500 0.2500  4 Nd 3.30, 4 Tb 3.30

Results
ΔE_f ... -69 meV per atom
SG ... No. 216
ΔE to the lowest computed polymorph ... 124.7 meV/atom

=====

Entry 3:
Material: ReSiMo4
Method: DFT, PBE
State: optimized geometry

abc: 5.1470 5.1470 5.1470
angles: 60.00 60.00 60.00
Last column: nearest neighbours and their distance in Å.
Positions (direct):
Re 0.0000 0.0000 0.0000  12 Mo 3.02, 4 Si 3.15
Si 0.7500 0.7500 0.7500  12 Mo 3.01, 4 Re 3.15
Mo 0.3763 0.3763 0.3763  6 Mo 2.55-2.60
Mo 0.3763 0.3763 0.8712  6 Mo 2.55-2.60
Mo 0.3763 0.8712 0.3763  6 Mo 2.55-2.60
Mo 0.8712 0.3763 0.3763  6 Mo 2.55-2.60

Results
E_form (uncorrected) ... 0.50 eV per atom
SG ... No. 216

=====

Entry 4:
Material: La3GaCo2
Method: DFT, PBE
State: optimized geometry

abc: 8.2244 7.9669 10.9845
angles: 90.00 125.72 90.00
Last column: nearest neighbours and their distance in Å.
Positions (direct):
La 0.1997 0.1607 0.0537  1 Co 2.64
La 0.1997 0.3393 0.5537  1 Co 2.64
La 0.2435 0.5334 0.2643  1 Co 2.49
La 0.2435 0.9666 0.7643  1 Co 2.49
La 0.2557 0.5178 0.8574  4 Co 2.60-2.89
La 0.2557 0.9822 0.3574  4 Co 2.60-2.89
La 0.7443 0.0178 0.6426  4 Co 2.60-2.89
La 0.7443 0.4822 0.1426  4 Co 2.60-2.89
La 0.7565 0.0334 0.2357  1 Co 2.49
La 0.7565 0.4666 0.7357  1 Co 2.49
La 0.8003 0.6607 0.4463  1 Co 2.64
La 0.8003 0.8393 0.9463  1 Co 2.64
Ga 0.3734 0.7195 0.6089  3 Co 2.46-2.53
Ga 0.3734 0.7805 0.1089  3 Co 2.46-2.53
Ga 0.6266 0.2195 0.8911  3 Co 2.46-2.53
Ga 0.6266 0.2805 0.3911  3 Co 2.46-2.53
Co 0.0380 0.7002 0.3605  1 Ga 2.51, 3 La 2.64-2.80
Co 0.0380 0.7998 0.8605  1 Ga 2.51, 3 La 2.64-2.80
Co 0.4562 0.0260 0.6758  2 Ga 2.46-2.53, 2 La 2.49-2.60
Co 0.4562 0.4740 0.1758  2 Ga 2.46-2.53, 2 La 2.49-2.60
Co 0.5438 0.5260 0.8242  2 Ga 2.46-2.53, 2 La 2.49-2.60
Co 0.5438 0.9740 0.3242  2 Ga 2.46-2.53, 2 La 2.49-2.60
Co 0.9620 0.2002 0.1395  1 Ga 2.51, 3 La 2.64-2.80
Co 0.9620 0.2998 0.6395  1 Ga 2.51, 3 La 2.64-2.80

Results
ΔE_f ... -235 meV per atom
SG ... No. 14

=====

Entry 5:
Material: Sm3ErHg2
Method: DFT, PBE
State: optimized geometry

abc: 9.0170 9.0170 9.0170
angles: 132.86 70.80 130.43
Last column: nearest neighbours and their distance in Å.
Positions (direct):
Sm 0.0223 0.7500 0.2723  4 Hg 3.10-3.15
Sm 0.2500 0.2500 0.0000  4 Hg 3.13
Sm 0.4777 0.7500 0.7277  4 Hg 3.10-3.15
Sm 0.5223 0.2500 0.2723  4 Hg 3.10-3.15
Sm 0.7500 0.7500 0.0000  4 Hg 3.13
Sm 0.9777 0.2500 0.7277  4 Hg 3.10-3.15
Er 0.0000 0.5000 0.5000  2 Hg 2.95
Er 0.5000 0.0000 0.5000  2 Hg 2.95
Hg 0.1377 0.2030 0.3407  1 Er 2.95, 6 Sm 3.10-3.15
Hg 0.3623 0.7030 0.0653  1 Er 2.95, 6 Sm 3.10-3.15
Hg 0.6377 0.2970 0.9347  1 Er 2.95, 6 Sm 3.10-3.15
Hg 0.8623 0.7970 0.6593  1 Er 2.95, 6 Sm 3.10-3.15

Results
ΔE_f ... -79 meV per atom
SG ... No. 72
ΔE to the lowest computed polymorph ... 260.1 meV/atom

=====

Entry 6:
Material: TmGaPd
Method: DFT, PBE
State: optimized geometry

abc: 5.4951 5.4951 5.4951
angles: 143.82 143.82 52.09
Last column: nearest neighbours and their distance in Å.
Positions (direct):
Tm 0.0000 0.0000 0.0000  5 Pd 3.05-3.08, 5 Ga 3.05-3.07, 4 Tm 3.41
Ga 0.6890 0.6890 0.0000  4 Pd 2.70
Pd 0.3116 0.3116 0.0000  4 Ga 2.70

Results
ΔE_f ... -719 meV per atom
SG ... No. 107

=====

Values of raw total energy, in order: -4.34, -4.47, -9.70, -5.57, -3.30, -4.95, all in eV/atom.
Values of density, in order: 13.11, 7.49, 10.30, 6.87, 8.45, 9.97, all in Mg/m³.